No. 1
Entry from Alexandria via LeMat-Bulk: NbAlB after structural relaxation (GGA-PBE).

Summary:
Final energy   -7.073 eV/atom
Volume   79.03 Å³/cell
N(E_F)   0.416 states/eV/atom
Formation energy from the elements   -243 meV per atom
Spin magnetization   0.000 μB per cell
Polymorph energy (0 for the lowest one)   297 meV per atom

a b c (Å): 4.6794 4.6794 6.7178
angles (deg): 122.86 122.86 41.25
Fractional coordinates of all 6 atoms:
Nb1 0.0000 0.0000 0.0000
Nb2 0.2333 0.2333 0.5548
Al1 0.4003 0.4003 0.2750
Al2 0.6324 0.6324 0.8067
B1 0.6792 0.6792 0.2850
B2 0.9338 0.9338 0.5646

No. 2
Entry from Alexandria via LeMat-Bulk: Nb4Al2B after structural relaxation (GGA-PBE).

Summary:
Final energy   -7.762 eV/atom
Volume   125.83 Å³/cell
N(E_F)   0.604 states/eV/atom
Formation energy from the elements   15 meV per atom
Spin magnetization   0.000 μB per cell

a b c (Å): 7.7020 7.7020 7.7020
angles (deg): 148.29 148.29 45.46
Fractional coordinates of all 7 atoms:
Nb1 0.0000 0.5000 0.5000
Nb2 0.1598 0.1598 0.0000
Nb3 0.5000 0.0000 0.5000
Nb4 0.8402 0.8402 0.0000
Al1 0.3575 0.3575 0.0000
Al2 0.6425 0.6425 0.0000
B1 0.0000 0.0000 0.0000

No. 3
Entry from Alexandria via LeMat-Bulk: NbAlB after structural relaxation (GGA-PBE).

Summary:
Final energy   -7.241 eV/atom
Volume   85.76 Å³/cell
N(E_F)   0.434 states/eV/atom
Formation energy from the elements   -411 meV per atom
Spin magnetization   0.000 μB per cell
Polymorph energy (0 for the lowest one)   129 meV per atom

a b c (Å): 2.9919 3.1854 9.0027
angles (deg): 90.00 91.76 90.00
Fractional coordinates of all 6 atoms:
Nb1 0.2349 0.0000 0.3481
Nb2 0.7651 0.0000 0.6519
Al1 0.2738 0.5000 0.8644
Al2 0.7262 0.5000 0.1356
B1 0.2549 0.5000 0.5474
B2 0.7451 0.5000 0.4526

No. 4
Entry from Alexandria via LeMat-Bulk: NbAlB after structural relaxation (GGA-PBE).

Summary:
Final energy   -7.210 eV/atom
Volume   76.15 Å³/cell
N(E_F)   0.552 states/eV/atom
Formation energy from the elements   -380 meV per atom
Spin magnetization   0.000 μB per cell
Polymorph energy (0 for the lowest one)   160 meV per atom

a b c (Å): 5.6973 5.6973 4.4776
angles (deg): 101.41 101.41 32.37
Fractional coordinates of all 6 atoms:
Nb1 0.1428 0.1428 0.3246
Nb2 0.8572 0.8572 0.6754
Al1 0.4248 0.4248 0.2179
Al2 0.5752 0.5752 0.7821
B1 0.2371 0.2371 0.8832
B2 0.7629 0.7629 0.1168

No. 5
Entry from Alexandria via LeMat-Bulk: NbAlB after structural relaxation (GGA-PBE).

Summary:
Final energy   -7.245 eV/atom
Volume   88.48 Å³/cell
N(E_F)   0.485 states/eV/atom
Formation energy from the elements   -415 meV per atom
Spin magnetization   0.000 μB per cell
Polymorph energy (0 for the lowest one)   125 meV per atom

a b c (Å): 3.0236 3.2114 9.2319
angles (deg): 90.00 99.25 90.00
Fractional coordinates of all 6 atoms:
Nb1 0.1770 0.0000 0.3530
Nb2 0.8230 0.0000 0.6470
Al1 0.4242 0.5000 0.8549
Al2 0.5758 0.5000 0.1451
B1 0.2735 0.5000 0.5474
B2 0.7265 0.5000 0.4526

No. 6
Entry from Alexandria via LeMat-Bulk: NbAlB after structural relaxation (GGA-PBE).

Summary:
Final energy   -7.135 eV/atom
Volume   78.67 Å³/cell
N(E_F)   0.210 states/eV/atom
Formation energy from the elements   -305 meV per atom
Spin magnetization   0.000 μB per cell
Polymorph energy (0 for the lowest one)   235 meV per atom

a b c (Å): 4.9886 4.9886 6.6712
angles (deg): 127.74 127.74 38.49
Fractional coordinates of all 6 atoms:
Nb1 0.0000 0.0000 0.0000
Nb2 0.5800 0.5800 0.6934
Al1 0.2320 0.2320 0.5430
Al2 0.8301 0.8301 0.2582
B1 0.2945 0.2945 0.9650
B2 0.5257 0.5257 0.2808

Question: What is the volume in the sixth record?
Answer: 78.67 Å³/cell

Question: Among the records above, which one has the highest N(E_F)?
Answer: Nb4Al2B